DFT (PBE) results for CdInTc3 after structural relaxation.

Cell lengths 5.0053, 5.0053, 5.0053 Å; angles 90.00, 90.00, 90.00 degrees
Space group Pm-3m (No. 221)
One atom of each set of equivalent atoms:
Cd1 0.0000 0.0000 0.0000
In1 0.5000 0.5000 0.5000
Tc1 0.0000 0.5000 0.5000

Computed properties:
energy above the most stable polymorph in this dataset = 0 meV/atom
formation energy from the elements = 2.140 eV/atom



DFT (PBE) results for K2OsRh after structural relaxation.

Cell lengths 5.4066, 11.1225, 2.7582 Å; angles 90.00, 103.45, 90.00 degrees
Space group C2/m (No. 12)
One atom of each set of equivalent atoms:
K1 0.2500 0.2500 0.0000
Os1 0.0000 0.0000 0.5000
Rh1 0.0000 0.5000 0.5000

Computed properties:
energy above the most stable polymorph in this dataset = 557 meV/atom
formation energy from the elements = 1.139 eV/atom



DFT (PBE) results for Li3Zn3Pt after structural relaxation.

Cell lengths 6.5453, 6.5453, 17.9027 Å; angles 90.00, 90.00, 120.00 degrees
Space group R-3 (No. 148, hexagonal axes)
One atom of each set of equivalent atoms:
Li1 0.0413 0.6043 0.3821
Zn1 0.0139 0.7584 0.5563
Pt1 0.0000 0.0000 0.1612

Computed properties:
formation energy from the elements = -0.234 eV/atom



DFT (PBE) results for MnCd2Pt after structural relaxation.

Cell lengths 2.9817, 2.9817, 27.9793 Å; angles 90.00, 90.00, 120.00 degrees
Space group R-3m (No. 166, hexagonal axes)
One atom of each set of equivalent atoms:
Mn1 0.0000 0.0000 0.0000
Cd1 0.0000 0.0000 0.2494
Pt1 0.0000 0.0000 0.5000

Computed properties:
formation energy from the elements = 0.070 eV/atom



DFT (PBE) results for PuScSn after structural relaxation.

Cell lengths 3.8848, 3.8848, 10.0669 Å; angles 90.00, 90.00, 90.00 degrees
Space group I4mm (No. 107)
One atom of each set of equivalent atoms:
Pu1 0.0000 0.0000 0.0000
Sc1 0.0000 0.0000 0.6914
Sn1 0.0000 0.0000 0.3264

Computed properties:
energy above the most stable polymorph in this dataset = 242 meV/atom
formation energy from the elements = -0.237 eV/atom



DFT (PBE) results for KBSbI2 after structural relaxation.

Cell lengths 5.9734, 5.9734, 4.5221 Å; angles 90.00, 90.00, 90.00 degrees
Space group P4/mmm (No. 123)
One atom of each set of equivalent atoms:
K1 0.0000 0.0000 0.0000
B1 0.5000 0.5000 0.5000
Sb1 0.5000 0.5000 0.0000
I1 0.0000 0.5000 0.5000

Computed properties:
energy above the most stable polymorph in this dataset = 0 meV/atom
E_form (uncorrected) = 190 meV per atom



Record order is preserved below.
Raw total energy: -4.81, -4.06, -2.46, -4.19, -8.46, -2.81 eV/atom
Record order is preserved below.
Calculated volume: 25.079, 20.165, 15.815, 17.952, 25.321, 32.271 Å³/atom
Record order is preserved below.
Total magnetic moment: 7.995, 0.001, 0.000, 4.020, 7.074, 0.000 μB per formula unit